[1]
First-principles (PBE-GGA) data for a relaxed BeRuAu3 crystal, as listed in the Alexandria database.

Calculated values
- energy (eV/atom) = -3.0493
- size of the total moment (μB per atom) = 0.523
- ΔE_f (kJ per mole of atoms) = 146.4
- space-group type = Pm-3m

Lattice parameters (Å, degrees): 5.034 5.034 5.034 90.00 90.00 90.00
Fractional coordinates of all 5 atoms:
Be: 0.000 0.000 0.000
Ru: 0.500 0.500 0.500
Au: 0.000 0.500 0.500
Au: 0.500 0.000 0.500
Au: 0.500 0.500 0.000

---

[2]
First-principles (PBE-GGA) data for a relaxed Be4RuAu crystal, as listed in the Alexandria database.

Calculated values
- energy (eV/atom) = -4.7245
- size of the total moment (μB per atom) = 0.000
- ΔE_f (kJ per mole of atoms) = -14.3
- space-group type = F-43m

Lattice parameters (Å, degrees): 4.448 4.448 4.448 60.00 60.00 60.00
Fractional coordinates of all 6 atoms:
Be: 0.376 0.376 0.376
Be: 0.376 0.376 0.872
Be: 0.376 0.872 0.376
Be: 0.872 0.376 0.376
Ru: 0.750 0.750 0.750
Au: 0.000 0.000 0.000